[1]
LaNd2Er | GGA-PBE | relaxed

The calculation puts the formation energy at 0.148 eV per atom. As for the total energy: -73.74 eV per cell. The distance to the lowest polymorph of the same formula is 131.6 meV per atom.

The structure belongs to space group Fm-3m (No. 225); the cell edges are 8.2353, 8.2353 and 8.2353 Å and the angles 90.00°, 90.00° and 90.00°. The asymmetric unit holds La at (0.0000, 0.0000, 0.0000), Nd at (0.2500, 0.2500, 0.2500) and Er at (0.0000, 0.0000, 0.5000).

***

[2]
LaNdEr2 | GGA-PBE | relaxed

The calculation puts the formation energy at 0.024 eV per atom. As for the total energy: -37.45 eV per cell. The distance to the lowest polymorph of the same formula is 8.8 meV per atom.

The structure belongs to space group Cmmm (No. 65); the cell edges are 7.3150, 9.9322 and 3.6639 Å and the angles 90.00°, 90.00° and 90.00°. The asymmetric unit holds La at (0.0000, 0.0000, 0.0000), Nd at (0.0000, 0.5000, 0.0000) and Er at (0.2500, 0.2500, 0.5000).

***

[3]
La3Nd4Er5 | GGA-PBE | relaxed

The calculation puts the formation energy at 0.226 eV per atom. As for the total energy: -107.91 eV per cell. The distance to the lowest polymorph of the same formula is 203.7 meV per atom.

The structure belongs to space group C2/m (No. 12); the cell edges are 16.1899, 6.0398 and 9.4625 Å and the angles 90.00°, 116.57° and 90.00°. The asymmetric unit holds La at (0.0000, 0.0000, 0.0000), La at (0.2111, 0.5000, 0.2348), Nd at (0.0849, 0.5000, 0.4464), Nd at (0.2070, 0.5000, 0.8816), Er at (0.0000, 0.5000, 0.0000), Er at (0.0702, 0.0000, 0.6966) and Er at (0.1708, 0.0000, 0.3854).

***

[4]
LaNd4Er15 | GGA-PBE | relaxed

The calculation puts the formation energy at 0.026 eV per atom. As for the total energy: -91.92 eV per cell.

The structure belongs to space group P4/mmm (No. 123); the cell edges are 5.0373, 5.0373 and 25.0363 Å and the angles 90.00°, 90.00° and 90.00°. The asymmetric unit holds La at (0.0000, 0.0000, 0.0000), Nd at (0.0000, 0.0000, 0.2004), Nd at (0.0000, 0.0000, 0.4003), Er at (0.0000, 0.5000, 0.1014), Er at (0.0000, 0.5000, 0.3005), Er at (0.0000, 0.5000, 0.5000), Er at (0.5000, 0.5000, 0.0000), Er at (0.5000, 0.5000, 0.2009) and Er at (0.5000, 0.5000, 0.4002).